{
  "formula": "Pm6AlOs2",
  "functional": "PBE",
  "state": "optimized geometry",
  "cell": [[-4.653, 5.355, 4.957], [-2.427, -8.249, 0.983], [8.389, 0.045, 2.127]],
  "species": ["Pm", "Pm", "Pm", "Al", "Os", "Pm", "Pm", "Os", "Pm", "Pm", "Pm", "Os", "Al", "Os", "Pm", "Pm", "Pm", "Pm"],
  "frac_coords": [[0.801, 0.243, 0.044], [0.539, 0.722, 0.817], [0.199, 0.757, 0.956], [0.000, 0.000, 0.000], [0.317, 0.000, 0.317], [0.095, 0.278, 0.817], [0.314, 0.985, 0.671], [0.500, 0.619, 0.119], [0.199, 0.243, 0.442], [0.314, 0.643, 0.329], [0.801, 0.757, 0.558], [0.683, 0.000, 0.683], [0.000, 0.500, 0.500], [0.500, 0.381, 0.881], [0.905, 0.722, 0.183], [0.461, 0.278, 0.183], [0.686, 0.357, 0.671], [0.686, 0.015, 0.329]],
  "formation_enthalpy_0k_mev_per_atom": -182,
  "space_group": "Immm"
}



{
  "formula": "Pm4Al16Os3",
  "functional": "PBE",
  "state": "optimized geometry",
  "cell": [[-5.827, 2.062, 0.412], [-0.743, -0.883, -6.086], [-3.645, -10.700, 1.997]],
  "species": ["Al", "Pm", "Al", "Al", "Al", "Al", "Os", "Al", "Al", "Al", "Al", "Pm", "Al", "Al", "Pm", "Al", "Al", "Al", "Os", "Os", "Pm", "Al", "Al"],
  "frac_coords": [[0.752, 0.752, 0.384], [0.500, 0.000, 0.191], [0.500, 0.500, 0.195], [0.248, 0.248, 0.384], [0.248, 0.752, 0.616], [0.752, 0.248, 0.384], [0.000, 0.000, 0.000], [0.282, 0.718, 0.000], [0.000, 0.000, 0.783], [0.248, 0.248, 0.616], [0.718, 0.282, 0.000], [0.000, 0.500, 0.809], [0.248, 0.752, 0.384], [0.500, 0.500, 0.805], [0.500, 0.000, 0.809], [0.718, 0.718, 0.000], [0.752, 0.248, 0.616], [0.752, 0.752, 0.616], [0.000, 0.500, 0.500], [0.500, 0.000, 0.500], [0.000, 0.500, 0.191], [0.000, 0.000, 0.217], [0.282, 0.282, 0.000]],
  "formation_enthalpy_0k_mev_per_atom": -484,
  "space_group": "P4/mmm"
}



{
  "formula": "Pm2Al3Os2",
  "functional": "PBE",
  "state": "optimized geometry",
  "cell": [[4.112, 0.000, 0.000], [-2.056, 4.632, -2.490], [0.000, 0.239, 7.296]],
  "species": ["Os", "Al", "Os", "Pm", "Al", "Al", "Pm"],
  "frac_coords": [[0.872, 0.743, 0.797], [0.352, 0.705, 0.564], [0.128, 0.257, 0.203], [0.146, 0.291, 0.765], [0.648, 0.295, 0.436], [0.500, 0.000, 0.000], [0.854, 0.709, 0.235]],
  "formation_enthalpy_0k_mev_per_atom": -437,
  "space_group": "C2/m"
}



{
  "formula": "PmPrAlOs",
  "functional": "PBE",
  "state": "optimized geometry",
  "cell": [[-2.782, 1.272, 4.104], [-5.104, -0.348, -0.160], [-2.403, -3.632, 2.688]],
  "species": ["Os", "Pm", "Pr", "Al"],
  "frac_coords": [[0.250, 0.250, 0.250], [0.500, 0.500, 0.500], [0.000, 0.000, 0.000], [0.750, 0.750, 0.750]],
  "formation_enthalpy_0k_mev_per_atom": -59,
  "space_group": "F-43m"
}



{
  "formula": "Pm2Al4OsPt3",
  "functional": "PBE",
  "state": "optimized geometry",
  "cell": [[4.321, 0.000, 0.000], [0.000, 4.321, 0.000], [0.000, 0.000, 10.147]],
  "species": ["Pt", "Al", "Al", "Pm", "Pt", "Pm", "Os", "Al", "Pt", "Al"],
  "frac_coords": [[0.000, 0.500, 0.131], [0.500, 0.500, 0.000], [0.000, 0.500, 0.376], [0.500, 0.000, 0.263], [0.500, 0.000, 0.869], [0.000, 0.500, 0.737], [0.500, 0.500, 0.500], [0.500, 0.000, 0.624], [0.000, 0.000, 0.500], [0.000, 0.000, 0.000]],
  "formation_enthalpy_0k_mev_per_atom": -963,
  "space_group": "P-4m2"
}



{
  "formula": "PmPuAlOs",
  "functional": "PBE",
  "state": "optimized geometry",
  "cell": [[4.989, 0.000, 0.000], [2.494, 4.320, 0.000], [2.494, 1.440, 4.073]],
  "species": ["Pu", "Pm", "Os", "Al"],
  "frac_coords": [[0.500, 0.500, 0.500], [0.000, 0.000, 0.000], [0.250, 0.250, 0.250], [0.750, 0.750, 0.750]],
  "formation_enthalpy_0k_mev_per_atom": -22,
  "space_group": "F-43m"
}



{
  "formula": "PmAl2SiOs2",
  "functional": "PBE",
  "state": "optimized geometry",
  "cell": [[-3.978, 0.664, 1.898], [-1.975, -2.075, -3.415], [0.480, -4.977, 2.747]],
  "species": ["Al", "Si", "Pm", "Os", "Os", "Al"],
  "frac_coords": [[0.500, 0.500, 0.263], [0.000, 0.000, 0.000], [0.000, 0.000, 0.500], [0.500, 0.000, 0.000], [0.000, 0.500, 0.000], [0.500, 0.500, 0.737]],
  "space_group": "P4/mmm",
  "e_form_raw_ev_per_fu": -1.43
}



{
  "formula": "PmAlSi2Os",
  "functional": "PBE",
  "state": "optimized geometry",
  "cell": [[3.956, 0.000, 0.000], [0.000, 3.956, 0.000], [-1.978, -1.978, 5.473]],
  "species": ["Pm", "Si", "Al", "Os", "Si"],
  "frac_coords": [[0.000, 0.000, 0.000], [0.388, 0.388, 0.776], [0.750, 0.250, 0.500], [0.250, 0.750, 0.500], [0.612, 0.612, 0.224]],
  "space_group": "I-4m2",
  "e_form_raw_ev_per_fu": -3.14
}



Values for density of states at the Fermi level, states/eV/atom, ordered as above
0.926 0.474 0.748 0.538 0.465 1.752 0.694 0.370
Values for E_tot, eV/atom, ordered as above
-6.26 -5.38 -6.61 -6.18 -6.35 -8.54 -6.92 -6.74